1.
A relaxed structure of Li2UCu2O6. Source: the Alexandria database, functional PBE.

Results
* SG: P-31m
* magnetization: 2.01 μB per formula unit
* calculated density: 6421 kg/m3
* formation energy without anion corrections: -1.783 eV per atom

The structure in POSCAR format:
```
Li2UCu2O6
1.0
5.269 0.000 0.000
-2.634 4.563 0.000
0.000 0.000 5.110
Li U Cu O
2 1 2 6
Direct
0.667 0.333 0.500
0.333 0.667 0.500
0.000 0.000 0.000
0.333 0.667 0.000
0.667 0.333 0.000
0.000 0.336 0.771
0.664 0.663 0.771
0.337 0.000 0.771
0.000 0.664 0.229
0.336 0.337 0.229
0.663 0.000 0.229
```

***

2.
A relaxed structure of HoPuAlGa. Source: the Alexandria database, functional PBE.

Results
* SG: F-43m
* magnetization: 5.49 μB per formula unit
* calculated density: 9160 kg/m3
* calculated formation energy: -31 kJ/mol of atoms

The structure in POSCAR format:
```
HoPuAlGa
1.0
5.061 0.000 0.000
2.530 4.383 0.000
2.530 1.461 4.132
Al Ho Ga Pu
1 1 1 1
Direct
0.000 0.000 0.000
0.250 0.250 0.250
0.500 0.500 0.500
0.750 0.750 0.750
```

***

3.
A relaxed structure of BaCoTc2. Source: the Alexandria database, functional PBE.

Results
* SG: Imm2
* ΔE to the lowest computed polymorph: 593 meV/atom
* magnetization: 0.70 μB per formula unit
* calculated density: 7624 kg/m3
* calculated formation energy: 101 kJ/mol of atoms

The structure in POSCAR format:
```
BaCoTc2
1.0
5.651 0.043 0.003
1.775 5.365 -0.003
-2.720 -4.069 2.826
Ba Co Tc
1 1 2
Direct
0.495 0.495 0.000
0.193 0.693 0.500
0.001 0.001 0.000
0.811 0.311 0.500
```

***

4.
A relaxed structure of Mn2BePb. Source: the Alexandria database, functional PBE.

Results
* SG: Fm-3m
* ΔE to the lowest computed polymorph: 171 meV/atom
* magnetization: 6.41 μB per formula unit
* calculated density: 8754 kg/m3
* calculated formation energy: 55 kJ/mol of atoms

The structure in POSCAR format:
```
Mn2BePb
1.0
-0.475 -0.776 -4.345
0.406 -4.131 -1.574
-3.575 -2.169 -1.490
Pb Be Mn
1 1 2
Direct
0.500 0.500 0.500
0.000 0.000 0.000
0.250 0.250 0.250
0.750 0.750 0.750
```

***

5.
A relaxed structure of La2SmRh. Source: the Alexandria database, functional PBE.

Results
* SG: R3m
* ΔE to the lowest computed polymorph: 125 meV/atom
* magnetization: 0.36 μB per formula unit
* calculated density: 6729 kg/m3
* calculated formation energy: -31 kJ/mol of atoms

The structure in POSCAR format:
```
La2SmRh
1.0
-3.486 1.886 -0.552
-3.390 -2.106 -0.290
-3.457 0.513 9.078
La Sm Rh
2 1 1
Direct
0.060 0.060 0.821
0.274 0.274 0.178
0.500 0.500 0.500
0.666 0.666 0.001
```

***

6.
A relaxed structure of Er3SbS3. Source: the Alexandria database, functional PBE.

Results
* SG: R-3
* magnetization: 0.00 μB per formula unit
* calculated density: 6294 kg/m3
* formation energy without anion corrections: -1.671 eV per atom

The structure in POSCAR format:
```
Er3SbS3
1.0
7.815 0.000 0.000
3.908 6.768 0.000
3.908 2.256 7.180
Er Sb S
6 2 6
Direct
0.282 0.520 0.278
0.920 0.282 0.278
0.520 0.920 0.278
0.480 0.080 0.722
0.080 0.718 0.722
0.718 0.480 0.722
0.333 0.333 0.000
0.667 0.667 0.000
0.384 0.829 0.655
0.829 0.132 0.655
0.132 0.384 0.655
0.868 0.616 0.345
0.171 0.868 0.345
0.616 0.171 0.345
```

***

7.
A relaxed structure of In5Ge3Au12. Source: the Alexandria database, functional PBE.

Results
* SG: Ia-3d
* magnetization: 0.00 μB per formula unit
* calculated density: 10571 kg/m3
* calculated formation energy: 8 kJ/mol of atoms

The structure in POSCAR format:
```
In5Ge3Au12
1.0
13.708 0.000 0.000
-4.569 12.924 0.000
-4.569 -6.462 11.192
Ge In Au
12 20 48
Direct
0.750 0.375 0.125
0.875 0.750 0.125
0.375 0.750 0.625
0.250 0.125 0.375
0.875 0.125 0.250
0.375 0.625 0.250
0.625 0.375 0.750
0.125 0.875 0.750
0.750 0.875 0.625
0.625 0.250 0.375
0.125 0.250 0.875
0.250 0.625 0.875
0.125 0.375 0.250
0.000 0.500 0.000
0.000 0.000 0.000
0.375 0.250 0.125
0.500 0.000 0.500
0.500 0.500 0.000
0.125 0.750 0.375
0.750 0.125 0.875
0.750 0.625 0.375
0.375 0.125 0.750
0.625 0.875 0.250
0.500 0.500 0.500
0.500 0.000 0.000
0.000 0.000 0.500
0.250 0.375 0.625
0.250 0.875 0.125
0.000 0.500 0.500
0.875 0.250 0.625
0.625 0.750 0.875
0.875 0.625 0.750
0.739 0.133 0.073
0.334 0.573 0.440
0.927 0.367 0.261
0.573 0.239 0.133
0.606 0.739 0.666
0.927 0.560 0.166
0.334 0.761 0.394
0.060 0.894 0.133
0.560 0.927 0.666
0.739 0.606 0.166
0.761 0.427 0.367
0.834 0.940 0.073
0.133 0.739 0.573
0.367 0.440 0.106
0.106 0.940 0.367
0.394 0.133 0.560
0.106 0.166 0.239
0.427 0.666 0.060
0.834 0.894 0.261
0.133 0.394 0.060
0.367 0.927 0.761
0.560 0.633 0.394
0.940 0.834 0.573
0.761 0.334 0.894
0.440 0.367 0.606
0.060 0.166 0.427
0.239 0.666 0.106
0.166 0.106 0.739
0.633 0.073 0.239
0.867 0.606 0.940
0.573 0.334 0.940
0.606 0.867 0.440
0.894 0.834 0.761
0.894 0.060 0.633
0.867 0.261 0.427
0.166 0.060 0.927
0.633 0.560 0.894
0.440 0.073 0.334
0.261 0.394 0.834
0.239 0.573 0.633
0.940 0.106 0.867
0.666 0.239 0.606
0.427 0.761 0.867
0.073 0.440 0.834
0.394 0.261 0.334
0.073 0.633 0.739
0.666 0.427 0.560
0.261 0.867 0.927
```

***

8.
A relaxed structure of PrThTlZn. Source: the Alexandria database, functional PBE.

Results
* SG: F-43m
* magnetization: 0.00 μB per formula unit
* calculated density: 9574 kg/m3
* calculated formation energy: -18 kJ/mol of atoms

The structure in POSCAR format:
```
PrThTlZn
1.0
5.402 0.000 0.000
2.701 4.678 0.000
2.701 1.559 4.411
Pr Tl Zn Th
1 1 1 1
Direct
0.250 0.250 0.250
0.500 0.500 0.500
0.000 0.000 0.000
0.750 0.750 0.750
```